Computed, not measured: a crystal of BeTc2B2 relaxed with PBEsol at the meta-GGA SCAN level of DFT.

Its total magnetization is 0.00 Bohr magnetons per cell. Its crystal system is tetragonal. For the formation energy, the calculation gives -0.57 eV per atom. The total energy comes out at -18.44 eV/atom.

The space group is P4/mbm (No. 127) and the conventional cell measures 5.545, 5.545 and 3.013 Å, with angles of 90.00, 90.00 and 90.00 degrees. The asymmetric unit holds Be at (0.000, 0.000, 0.000), Tc at (0.176, 0.324, 0.500) and B at (0.118, 0.618, 0.000).